Entry 1:
Here is a relaxed structure of ZnSn2Pb from Alexandria. Energies are from PBEsol.

```
ZnSn2Pb
1.0
5.196 0.000 0.000
2.598 4.500 0.000
2.598 1.500 4.242
Pb Zn Sn
1 1 2
Direct
0.500 0.500 0.500
0.000 0.000 0.000
0.250 0.250 0.250
0.750 0.750 0.750
```

Calculated density: 8.5 g/cm3
Uncorrected energy: -3.36 eV/atom

***

Entry 2:
Here is a relaxed structure of TlIn3Fe from Alexandria. Energies are from PBEsol.

```
TlIn3Fe
1.0
4.953 0.000 0.000
0.000 4.953 0.000
0.000 0.000 4.953
Tl Fe In
1 1 3
Direct
0.500 0.500 0.500
0.000 0.000 0.000
0.000 0.500 0.000
0.000 0.000 0.500
0.500 0.000 0.000
```

Calculated density: 8.3 g/cm3
Uncorrected energy: -3.96 eV/atom

***

Entry 3:
Here is a relaxed structure of CuSi5 from Alexandria. Energies are from PBEsol.

```
CuSi5
1.0
4.671 0.000 0.000
0.000 4.755 0.000
0.000 -2.378 4.118
Cu Si
1 5
Direct
0.000 0.000 0.000
0.000 0.667 0.333
0.000 0.333 0.667
0.500 0.500 0.500
0.500 0.000 0.500
0.500 0.500 0.000
```

Calculated density: 3.7 g/cm3
Energy above the most stable polymorph in this dataset: 1.78 eV/f.u.
Energy relative to the elements, uncorrected: 0.54 eV per atom

***

Entry 4:
Here is a relaxed structure of GaAgP2Se6 from Alexandria. Energies are from PBEsol.

```
GaAgP2Se6
1.0
7.457 0.000 0.000
0.000 12.067 0.000
0.000 0.000 22.358
Ga Ag P Se
8 8 16 48
Direct
0.733 0.866 0.342
0.767 0.134 0.842
0.267 0.134 0.658
0.233 0.866 0.158
0.233 0.634 0.658
0.267 0.366 0.158
0.733 0.634 0.842
0.767 0.366 0.342
0.864 0.911 0.515
0.636 0.411 0.515
0.864 0.589 0.015
0.364 0.589 0.485
0.136 0.411 0.985
0.636 0.089 0.015
0.364 0.911 0.985
0.136 0.089 0.485
0.540 0.899 0.843
0.759 0.867 0.913
0.759 0.633 0.413
0.241 0.367 0.587
0.040 0.899 0.657
0.460 0.399 0.657
0.960 0.399 0.843
0.741 0.367 0.913
0.040 0.601 0.157
0.259 0.633 0.087
0.259 0.867 0.587
0.960 0.101 0.343
0.540 0.601 0.343
0.741 0.133 0.413
0.460 0.101 0.157
0.241 0.133 0.087
0.368 0.038 0.566
0.535 0.267 0.867
0.682 0.491 0.620
0.813 0.008 0.272
0.632 0.538 0.934
0.649 0.705 0.494
0.132 0.538 0.566
0.030 0.268 0.307
0.132 0.962 0.066
0.813 0.492 0.772
0.318 0.991 0.880
0.649 0.795 0.994
0.187 0.992 0.728
0.868 0.462 0.434
0.530 0.232 0.693
0.030 0.232 0.807
0.313 0.492 0.728
0.351 0.295 0.506
0.465 0.733 0.133
0.868 0.038 0.934
0.851 0.295 0.994
0.965 0.733 0.367
0.368 0.462 0.066
0.035 0.267 0.633
0.530 0.268 0.193
0.687 0.508 0.272
0.632 0.962 0.434
0.535 0.233 0.367
0.313 0.008 0.228
0.149 0.795 0.506
0.182 0.009 0.380
0.970 0.732 0.693
0.351 0.205 0.006
0.818 0.991 0.620
0.851 0.205 0.494
0.682 0.009 0.120
0.965 0.767 0.867
0.470 0.732 0.807
0.187 0.508 0.228
0.970 0.768 0.193
0.035 0.233 0.133
0.318 0.509 0.380
0.149 0.705 0.006
0.465 0.767 0.633
0.687 0.992 0.772
0.182 0.491 0.880
0.470 0.768 0.307
0.818 0.509 0.120
```

Calculated density: 4.7 g/cm3
Energy relative to the elements, uncorrected: -0.19 eV per atom